# VZnIO2 PBE with a Hubbard U relaxed
data_VZnIO2
_cell_length_a 3.972
_cell_length_b 3.972
_cell_length_c 5.592
_cell_angle_alpha 90.00
_cell_angle_beta 90.00
_cell_angle_gamma 90.00
_space_group_name_H-M_alt 'P 4/m m m'
_space_group_IT_number 123
_space_group_name_Hall '-P 4 2'
loop_
_atom_site_label
_atom_site_type_symbol
_atom_site_fract_x
_atom_site_fract_y
_atom_site_fract_z
V1 V 0.000 0.000 0.000
Zn1 Zn 0.500 0.500 0.500
I1 I 0.500 0.500 0.000
O1 O 0.000 0.500 0.500
# total magnetization: 1.092 μB per formula unit
# E above lowest polymorph: 4.73 eV per formula unit
# E: -19.13 eV/cell